# 1
# AlTlAsF2

A relaxed AlTlAsF2 crystal (GGA-PBE, Alexandria via LeMat-Bulk).

Properties
Formation energy (no corrections) (kJ/mol of atoms): -44.9
Total DFT energy (no corrections) (eV/atom): -3.365

Cell lengths 4.3300, 4.3300, 6.3212 Å; angles 90.00, 90.00, 90.00 degrees
With the nearest neighbours (Å) after each atom.
Space group P4/mmm (No. 123)
Asymmetric unit:
Al: 0.0000 0.0000 0.0000 x1  4 As 3.06, 2 Tl 3.16
Tl: 0.0000 0.0000 0.5000 x1  4 F 2.17
As: 0.5000 0.5000 0.0000 x1  4 Al 3.06
F: 0.0000 0.5000 0.5000 x2  2 Tl 2.17



# 2
# Al2FeAs

A relaxed Al2FeAs crystal (GGA-PBE, Alexandria via LeMat-Bulk).

Properties
Energy of formation (meV per atom): 64
Total DFT energy (no corrections) (eV/atom): -5.086

Cell lengths 3.7811, 3.7811, 7.8937 Å; angles 90.00, 90.00, 90.00 degrees
With the nearest neighbours (Å) after each atom.
Space group I4/mmm (No. 139)
Asymmetric unit:
Al: 0.0000 0.5000 0.2500 x4  4 Al 2.67, 4 As 2.73, 4 Fe 2.73
Fe: 0.0000 0.0000 0.0000 x2  4 As 2.67, 8 Al 2.73
As: 0.0000 0.0000 0.5000 x2  4 Fe 2.67, 8 Al 2.73



# 3
# Al2FeAs

A relaxed Al2FeAs crystal (GGA-PBE, Alexandria via LeMat-Bulk).

Properties
Energy of formation (meV per atom): 45
Total DFT energy (no corrections) (eV/atom): -5.104

Cell lengths 5.1745, 7.3556, 3.0845 Å; angles 90.00, 90.00, 90.00 degrees
With the nearest neighbours (Å) after each atom.
Space group Cmmm (No. 65)
Asymmetric unit:
Al: 0.2500 0.2500 0.0000 x4  2 Al 2.59, 4 As 2.73, 4 Fe 2.73
Fe: 0.0000 0.0000 0.5000 x2  2 As 2.59, 8 Al 2.73
As: 0.0000 0.5000 0.5000 x2  2 Fe 2.59, 8 Al 2.73



# 4
# Al2FeAs

A relaxed Al2FeAs crystal (GGA-PBE, Alexandria via LeMat-Bulk).

Properties
Energy of formation (meV per atom): -85
Total DFT energy (no corrections) (eV/atom): -5.234

Cell lengths 2.8427, 2.8427, 7.4276 Å; angles 90.00, 90.00, 90.00 degrees
With the nearest neighbours (Å) after each atom.
Space group P4mm (No. 99)
Asymmetric unit:
Al: 0.0000 0.0000 0.0000 x1  4 Fe 2.55, 4 Al 2.84
Al: 0.5000 0.5000 0.2769 x1  8 Al 2.84-2.88, 4 As 3.15
Fe: 0.5000 0.5000 0.7898 x1  4 As 2.44, 4 Al 2.55
As: 0.0000 0.0000 0.6034 x1  4 Fe 2.44



# 5
# Al2FeAs

A relaxed Al2FeAs crystal (GGA-PBE, Alexandria via LeMat-Bulk).

Properties
Energy of formation (meV per atom): 129
Total DFT energy (no corrections) (eV/atom): -5.021

Cell lengths 8.9450, 8.9450, 4.4368 Å; angles 90.00, 90.00, 90.00 degrees
With the nearest neighbours (Å) after each atom.
Space group I4_1/amd (No. 141, origin choice 2)
Asymmetric unit:
Al: 0.0000 0.0000 0.0000 x8  2 Fe 2.30
Fe: 0.0000 0.2500 0.8750 x4  2 As 2.22, 4 Al 2.30
As: 0.0000 0.2500 0.3750 x4  2 Fe 2.22



# 6
# Al2FeAs

A relaxed Al2FeAs crystal (GGA-PBE, Alexandria via LeMat-Bulk).

Properties
Energy of formation (meV per atom): -60
Total DFT energy (no corrections) (eV/atom): -5.209

Cell lengths 3.2801, 3.3030, 5.2711 Å; angles 90.00, 90.00, 90.00 degrees
With the nearest neighbours (Å) after each atom.
Space group Pmmm (No. 47)
Asymmetric unit:
Al: 0.0000 0.0000 0.2376 x2  2 Al 2.51-2.77, 4 Fe 2.64, 4 As 2.71
Fe: 0.5000 0.5000 0.0000 x1  2 As 2.64, 8 Al 2.64
As: 0.5000 0.5000 0.5000 x1  2 Fe 2.64, 8 Al 2.71



# 7
# Al2FeAs

A relaxed Al2FeAs crystal (GGA-PBE, Alexandria via LeMat-Bulk).

Properties
Energy of formation (meV per atom): -100
Total DFT energy (no corrections) (eV/atom): -5.249

Cell lengths 3.9782, 3.1960, 9.2048 Å; angles 90.00, 90.00, 90.00 degrees
With the nearest neighbours (Å) after each atom.
Space group Amm2 (No. 38)
Asymmetric unit:
Al: 0.0000 0.0000 0.0000 x2  3 Fe 2.48-2.66, 4 As 2.69
Al: 0.5000 0.0000 0.3182 x2  3 As 2.51-2.63, 4 Fe 2.68
Fe: 0.0000 0.0000 0.7305 x2  2 As 2.37, 1 Al 2.48
As: 0.5000 0.0000 0.5913 x2  2 Fe 2.37, 3 Al 2.51-2.63



# 8
# Al2FeAs

A relaxed Al2FeAs crystal (GGA-PBE, Alexandria via LeMat-Bulk).

Properties
Energy of formation (meV per atom): -14
Total DFT energy (no corrections) (eV/atom): -5.163

Cell lengths 2.9234, 2.9234, 24.3613 Å; angles 90.00, 90.00, 120.00 degrees
With the nearest neighbours (Å) after each atom.
Space group R-3m (No. 166, hexagonal axes)
Asymmetric unit:
Al: 0.0000 0.0000 0.2393 x6  3 Fe 2.44
Fe: 0.0000 0.0000 0.5000 x3  6 Al 2.44
As: 0.0000 0.0000 0.0000 x3  6 Al 2.85, 6 As 2.92



# 9
# Al2FeAs

A relaxed Al2FeAs crystal (GGA-PBE, Alexandria via LeMat-Bulk).

Properties
Energy of formation (meV per atom): 58
Total DFT energy (no corrections) (eV/atom): -5.092

Cell lengths 8.4055, 3.1091, 4.5685 Å; angles 90.00, 104.23, 90.00 degrees
With the nearest neighbours (Å) after each atom.
Space group C2/m (No. 12)
Asymmetric unit:
Al: 0.2382 0.0000 0.2234 x4  3 Fe 2.54-2.64, 2 Al 2.61, 3 As 2.62-2.74
Fe: 0.0000 0.5000 0.0000 x2  6 Al 2.54-2.64, 4 As 2.76
As: 0.0000 0.0000 0.5000 x2  6 Al 2.62-2.74, 4 Fe 2.76



# 10
# Al2FeAs

A relaxed Al2FeAs crystal (GGA-PBE, Alexandria via LeMat-Bulk).

Properties
Energy of formation (meV per atom): 202
Total DFT energy (no corrections) (eV/atom): -4.947

Cell lengths 6.1201, 6.1201, 6.1201 Å; angles 90.00, 90.00, 90.00 degrees
With the nearest neighbours (Å) after each atom.
Space group F-43m (No. 216)
Asymmetric unit:
Al: 0.0000 0.0000 0.0000 x4  4 As 2.65, 4 Al 2.65
Al: 0.2500 0.2500 0.2500 x4  4 Fe 2.65, 4 Al 2.65
Fe: 0.0000 0.0000 0.5000 x4  4 As 2.65, 4 Al 2.65
As: 0.2500 0.2500 0.7500 x4  4 Fe 2.65, 4 Al 2.65



# 11
# Al2FeAs

A relaxed Al2FeAs crystal (GGA-PBE, Alexandria via LeMat-Bulk).

Properties
Energy of formation (meV per atom): 150
Total DFT energy (no corrections) (eV/atom): -4.999

Cell lengths 5.2160, 9.3014, 2.9276 Å; angles 90.00, 120.63, 90.00 degrees
With the nearest neighbours (Å) after each atom.
Space group C2/m (No. 12)
Asymmetric unit:
Al: 0.2500 0.2500 0.0000 x4  4 Al 2.61-2.76, 2 As 2.67, 2 Fe 2.67
Fe: 0.0000 0.0000 0.0000 x2  4 As 2.61-2.76, 4 Al 2.67
As: 0.0000 0.5000 0.0000 x2  4 Fe 2.61-2.76, 4 Al 2.67



# 12
# Al2FeAs

A relaxed Al2FeAs crystal (GGA-PBE, Alexandria via LeMat-Bulk).

Properties
Energy of formation (meV per atom): 4
Total DFT energy (no corrections) (eV/atom): -5.146

Cell lengths 3.0235, 3.0235, 23.3212 Å; angles 90.00, 90.00, 120.00 degrees
With the nearest neighbours (Å) after each atom.
Space group R3m (No. 160, hexagonal axes)
Asymmetric unit:
Al: 0.0000 0.0000 0.0000 x3  3 Fe 2.53, 3 Al 2.80
Al: 0.0000 0.0000 0.2395 x3  3 As 2.75, 9 Al 2.80-3.02
Fe: 0.0000 0.0000 0.7451 x3  3 As 2.38, 3 Al 2.53
As: 0.0000 0.0000 0.4815 x3  3 Fe 2.38



Among the records above, which one has the highest total DFT energy (no corrections)?
AlTlAsF2